DFT (GGA-PBE) results for a relaxed Ti5BeN6 crystal.

ρ ... 4997 kg/m³
Total DFT energy (no corrections) ... -0.6815 Ry/atom
E_form (uncorrected) ... -1.510 eV per atom

Cell: 5.134 5.134 5.133 Å, 99.59 99.59 120.03°
Positions (direct):
Ti1 0.000 0.000 0.000
Ti2 0.166 0.834 0.500
Ti3 0.337 0.663 0.000
Ti4 0.663 0.337 0.000
Ti5 0.834 0.166 0.500
Be1 0.500 0.500 0.500
N1 0.095 0.419 0.254
N2 0.259 0.259 0.739
N3 0.419 0.095 0.254
N4 0.581 0.905 0.746
N5 0.741 0.741 0.261
N6 0.905 0.581 0.746


DFT (GGA-PBE) results for a relaxed ErPuSnRu crystal.

ρ ... 11480 kg/m³
Total DFT energy (no corrections) ... -0.6064 Ry/atom
E_form ... -0.8 eV per formula unit

Cell: 5.054 5.054 5.054 Å, 60.00 60.00 60.00°
Positions (direct):
Er1 0.000 0.000 0.000
Pu1 0.500 0.500 0.500
Sn1 0.750 0.750 0.750
Ru1 0.250 0.250 0.250


DFT (GGA-PBE) results for a relaxed BaSi2Rh crystal.

ρ ... 5497 kg/m³
Total DFT energy (no corrections) ... -0.3964 Ry/atom
E_form (uncorrected) ... -0.363 eV per atom

Cell: 3.702 3.858 6.269 Å, 90.00 90.00 90.00°
Positions (direct):
Ba1 0.000 0.000 0.000
Si1 0.500 0.000 0.524
Si2 0.500 0.500 0.291
Rh1 0.000 0.500 0.531


DFT (GGA-PBE) results for a relaxed LaPmCu2Ge2 crystal.

ρ ... 7209 kg/m³
Total DFT energy (no corrections) ... -0.3817 Ry/atom
E_form ... -4.1 eV per formula unit

Cell: 4.317 4.317 7.938 Å, 90.00 90.00 120.00°
Positions (direct):
La1 0.000 0.000 0.000
Pm1 0.000 0.000 0.500
Cu1 0.333 0.667 0.736
Cu2 0.667 0.333 0.264
Ge1 0.333 0.667 0.257
Ge2 0.667 0.333 0.743


DFT (GGA-PBE) results for a relaxed AlTl2As crystal.

ρ ... 8416 kg/m³
Total DFT energy (no corrections) ... -0.2199 Ry/atom
E_form ... 1.2 eV per formula unit
Offset from the most stable computed form ... 342 meV per atom

Cell: 5.223 5.223 5.223 Å, 60.00 60.00 60.00°
Positions (direct):
Al1 0.000 0.000 0.000
Tl1 0.250 0.250 0.250
Tl2 0.750 0.750 0.750
As1 0.500 0.500 0.500


DFT (GGA-PBE) results for a relaxed Sm4Y5Ho2 crystal.

ρ ... 6307 kg/m³
Total DFT energy (no corrections) ... -0.3920 Ry/atom
E_form ... 1.7 eV per formula unit
Offset from the most stable computed form ... 52 meV per atom

Cell: 19.210 19.210 5.508 Å, 98.23 98.23 10.37°
Positions (direct):
Sm1 0.043 0.043 0.042
Sm2 0.320 0.320 0.321
Sm3 0.680 0.680 0.679
Sm4 0.957 0.957 0.958
Y1 0.091 0.091 0.591
Y2 0.139 0.139 0.138
Y3 0.500 0.500 0.500
Y4 0.861 0.861 0.862
Y5 0.909 0.909 0.409
Ho1 0.228 0.228 0.228
Ho2 0.772 0.772 0.772


DFT (GGA-PBE) results for a relaxed BaSr2GaF crystal.

ρ ... 4270 kg/m³
Total DFT energy (no corrections) ... -0.2331 Ry/atom
E_form (uncorrected) ... -1.134 eV per atom

Cell: 5.317 5.317 5.521 Å, 90.00 90.00 90.00°
Positions (direct):
Ba1 0.000 0.000 0.000
Sr1 0.000 0.500 0.500
Sr2 0.500 0.000 0.500
Ga1 0.500 0.500 0.000
F1 0.000 0.000 0.500


DFT (GGA-PBE) results for a relaxed Sr2AgHg crystal.

ρ ... 6433 kg/m³
Total DFT energy (no corrections) ... -0.1489 Ry/atom
E_form ... -1.6 eV per formula unit

Cell: 5.641 5.641 3.924 Å, 90.00 90.00 90.00°
Positions (direct):
Sr1 0.000 0.500 0.000
Sr2 0.500 0.000 0.000
Ag1 0.000 0.000 0.500
Hg1 0.500 0.500 0.500


DFT (GGA-PBE) results for a relaxed SeSI3 crystal.

ρ ... 4301 kg/m³
Total DFT energy (no corrections) ... -0.1326 Ry/atom
E_form (uncorrected) ... 0.648 eV per atom
Offset from the most stable computed form ... 31 meV per atom

Cell: 5.747 5.747 5.747 Å, 90.00 90.00 90.00°
Positions (direct):
Se1 0.000 0.000 0.000
S1 0.500 0.500 0.500
I1 0.000 0.000 0.500
I2 0.000 0.500 0.000
I3 0.500 0.000 0.000


DFT (GGA-PBE) results for a relaxed YCrP2 crystal.

ρ ... 4569 kg/m³
Total DFT energy (no corrections) ... -0.5398 Ry/atom
E_form ... -2.5 eV per formula unit
Offset from the most stable computed form ... 290 meV per atom

Cell: 4.809 4.809 4.809 Å, 132.45 108.76 90.19°
Positions (direct):
Y1 0.000 0.000 0.000
Cr1 0.500 0.500 0.000
P1 0.293 0.793 0.500
P2 0.707 0.207 0.500


DFT (GGA-PBE) results for a relaxed KIrRu crystal.

ρ ... 8360 kg/m³
Total DFT energy (no corrections) ... -0.4341 Ry/atom
E_form ... 1.5 eV per formula unit
Offset from the most stable computed form ... 64 meV per atom

Cell: 6.550 6.550 6.550 Å, 155.95 144.69 43.17°
Positions (direct):
K1 0.000 0.000 0.000
Ir1 0.714 0.714 0.000
Ru1 0.281 0.281 0.000


DFT (GGA-PBE) results for a relaxed MgAlCd2 crystal.

ρ ... 5479 kg/m³
Total DFT energy (no corrections) ... -0.1295 Ry/atom
E_form ... 0.1 eV per formula unit

Cell: 3.098 3.098 8.721 Å, 90.00 90.00 90.00°
Positions (direct):
Mg1 0.000 0.000 0.000
Al1 0.000 0.000 0.500
Cd1 0.500 0.500 0.256
Cd2 0.500 0.500 0.744


DFT (GGA-PBE) results for a relaxed HfNiI2 crystal.

ρ ... 9379 kg/m³
Total DFT energy (no corrections) ... -0.3176 Ry/atom
E_form (uncorrected) ... 0.387 eV per atom
Offset from the most stable computed form ... 0 meV per atom

Cell: 4.972 4.972 4.972 Å, 60.00 60.00 60.00°
Positions (direct):
Hf1 0.000 0.000 0.000
Ni1 0.500 0.500 0.500
I1 0.250 0.250 0.250
I2 0.750 0.750 0.750


DFT (GGA-PBE) results for a relaxed OsRu3 crystal.

ρ ... 14601 kg/m³
Total DFT energy (no corrections) ... -0.7094 Ry/atom
E_form ... 0.4 eV per formula unit

Cell: 4.688 4.688 4.688 Å, 131.80 131.80 70.55°
Positions (direct):
Os1 0.000 0.000 0.000
Ru1 0.250 0.750 0.500
Ru2 0.500 0.500 0.000
Ru3 0.750 0.250 0.500


DFT (GGA-PBE) results for a relaxed Mg2Br crystal.

ρ ... 2360 kg/m³
Total DFT energy (no corrections) ... -0.1550 Ry/atom
E_form (uncorrected) ... -0.488 eV per atom
Offset from the most stable computed form ... 27 meV per atom

Cell: 5.395 3.579 9.632 Å, 90.00 103.55 90.00°
Positions (direct):
Mg1 0.000 0.000 0.000
Mg2 0.216 0.500 0.251
Mg3 0.472 0.500 0.977
Mg4 0.707 0.000 0.262
Br1 0.584 0.000 0.787
Br2 0.957 0.500 0.459


DFT (GGA-PBE) results for a relaxed La4AgPb crystal.

ρ ... 7455 kg/m³
Total DFT energy (no corrections) ... -0.3100 Ry/atom
E_form ... 1.0 eV per formula unit

Cell: 6.497 6.497 6.497 Å, 60.00 60.00 60.00°
Positions (direct):
La1 0.123 0.123 0.123
La2 0.123 0.123 0.631
La3 0.123 0.631 0.123
La4 0.631 0.123 0.123
Ag1 0.500 0.500 0.500
Pb1 0.750 0.750 0.750


DFT (GGA-PBE) results for a relaxed ZrTaPdO2 crystal.

ρ ... 8145 kg/m³
Total DFT energy (no corrections) ... -0.6206 Ry/atom
E_form (uncorrected) ... -1.341 eV per atom

Cell: 3.906 3.906 5.486 Å, 90.00 90.00 90.00°
Positions (direct):
Zr1 0.000 0.000 0.000
Ta1 0.500 0.500 0.500
Pd1 0.500 0.500 0.000
O1 0.000 0.500 0.500
O2 0.500 0.000 0.500


DFT (GGA-PBE) results for a relaxed TiTeHI2 crystal.

ρ ... 4253 kg/m³
Total DFT energy (no corrections) ... -0.2463 Ry/atom
Offset from the most stable computed form ... 0 meV per atom

Cell: 5.642 5.642 5.278 Å, 90.00 90.00 90.00°
Positions (direct):
Ti1 0.000 0.000 0.000
Te1 0.000 0.000 0.500
H1 0.500 0.500 0.500
I1 0.000 0.500 0.000
I2 0.500 0.000 0.000


DFT (GGA-PBE) results for a relaxed SrAcSbN crystal.

ρ ... 6258 kg/m³
Total DFT energy (no corrections) ... -0.4004 Ry/atom
E_form (uncorrected) ... -0.888 eV per atom

Cell: 5.046 5.046 9.388 Å, 90.00 90.00 90.00°
Positions (direct):
Sr1 0.250 0.250 0.159
Sr2 0.750 0.750 0.841
Ac1 0.250 0.750 0.500
Ac2 0.750 0.250 0.500
Sb1 0.250 0.250 0.793
Sb2 0.750 0.750 0.207
N1 0.250 0.250 0.423
N2 0.750 0.750 0.577


DFT (GGA-PBE) results for a relaxed Mg2CuH2 crystal.

ρ ... 3194 kg/m³
Total DFT energy (no corrections) ... -0.2065 Ry/atom
Offset from the most stable computed form ... 0 meV per atom

Cell: 6.143 6.143 6.143 Å, 149.56 149.56 43.59°
Positions (direct):
Mg1 0.147 0.147 0.000
Mg2 0.853 0.853 0.000
Cu1 0.500 0.500 0.000
H1 0.250 0.750 0.500
H2 0.750 0.250 0.500


DFT (GGA-PBE) results for a relaxed Sr3Ga2Ag9Sn crystal.

ρ ... 6309 kg/m³
Total DFT energy (no corrections) ... -0.2065 Ry/atom
E_form ... -1.4 eV per formula unit

Cell: 7.520 7.520 8.018 Å, 90.00 90.00 120.00°
Positions (direct):
Sr1 0.000 0.000 0.000
Sr2 0.333 0.667 0.682
Sr3 0.667 0.333 0.318
Ga1 0.333 0.667 0.146
Ga2 0.667 0.333 0.854
Ag1 0.000 0.500 0.000
Ag2 0.183 0.366 0.341
Ag3 0.183 0.817 0.341
Ag4 0.366 0.183 0.659
Ag5 0.500 0.000 0.000
Ag6 0.500 0.500 0.000
Ag7 0.634 0.817 0.341
Ag8 0.817 0.183 0.659
Ag9 0.817 0.634 0.659
Sn1 0.000 0.000 0.500


DFT (GGA-PBE) results for a relaxed Sc3TaBr crystal.

ρ ... 4525 kg/m³
Total DFT energy (no corrections) ... -0.4333 Ry/atom
E_form (uncorrected) ... 0.608 eV per atom
Offset from the most stable computed form ... 266 meV per atom

Cell: 5.256 5.256 5.256 Å, 90.00 90.00 90.00°
Positions (direct):
Sc1 0.000 0.000 0.500
Sc2 0.000 0.500 0.000
Sc3 0.500 0.000 0.000
Ta1 0.000 0.000 0.000
Br1 0.500 0.500 0.500


DFT (GGA-PBE) results for a relaxed Be3CuP crystal.

ρ ... 3026 kg/m³
Total DFT energy (no corrections) ... -0.2495 Ry/atom
E_form ... 3.7 eV per formula unit
Offset from the most stable computed form ... 0 meV per atom

Cell: 4.055 4.055 4.055 Å, 90.00 90.00 90.00°
Positions (direct):
Be1 0.000 0.000 0.500
Be2 0.000 0.500 0.000
Be3 0.500 0.000 0.000
Cu1 0.500 0.500 0.500
P1 0.000 0.000 0.000


DFT (GGA-PBE) results for a relaxed Ac4Bi2SbSe crystal.

ρ ... 8288 kg/m³
Total DFT energy (no corrections) ... -0.3860 Ry/atom
E_form (uncorrected) ... -1.276 eV per atom

Cell: 8.244 4.775 8.245 Å, 90.00 109.53 90.00°
Positions (direct):
Ac1 0.245 0.000 0.242
Ac2 0.250 0.500 0.757
Ac3 0.750 0.500 0.243
Ac4 0.755 0.000 0.758
Bi1 0.000 0.000 0.500
Bi2 0.500 0.500 0.500
Sb1 0.500 0.000 0.000
Se1 0.000 0.500 0.000


DFT (GGA-PBE) results for a relaxed Tl8Pd3Au2 crystal.

ρ ... 12042 kg/m³
Total DFT energy (no corrections) ... -0.2366 Ry/atom
E_form ... -0.8 eV per formula unit

Cell: 8.369 4.849 8.480 Å, 90.00 109.77 90.00°
Positions (direct):
Tl1 0.120 0.000 0.383
Tl2 0.123 0.500 0.867
Tl3 0.365 0.500 0.623
Tl4 0.377 0.000 0.126
Tl5 0.623 0.000 0.874
Tl6 0.635 0.500 0.377
Tl7 0.877 0.500 0.133
Tl8 0.880 0.000 0.617
Pd1 0.253 0.000 0.756
Pd2 0.500 0.500 0.000
Pd3 0.747 0.000 0.244
Au1 0.252 0.500 0.251
Au2 0.748 0.500 0.749


DFT (GGA-PBE) results for a relaxed AcRhIO6 crystal.

ρ ... 6702 kg/m³
Total DFT energy (no corrections) ... -0.4463 Ry/atom
E_form (uncorrected) ... -1.322 eV per atom

Cell: 5.416 5.416 5.392 Å, 90.00 90.00 120.00°
Positions (direct):
Ac1 0.000 0.000 0.000
Rh1 0.333 0.667 0.500
I1 0.667 0.333 0.500
O1 0.003 0.369 0.709
O2 0.003 0.634 0.291
O3 0.366 0.369 0.291
O4 0.366 0.997 0.709
O5 0.631 0.634 0.709
O6 0.631 0.997 0.291


DFT (GGA-PBE) results for a relaxed RbEu3 crystal.

ρ ... 4292 kg/m³
Total DFT energy (no corrections) ... -0.5650 Ry/atom
E_form ... 1.0 eV per formula unit
Offset from the most stable computed form ... 0 meV per atom

Cell: 5.939 5.939 5.939 Å, 90.00 90.00 90.00°
Positions (direct):
Rb1 0.000 0.000 0.000
Eu1 0.000 0.500 0.500
Eu2 0.500 0.000 0.500
Eu3 0.500 0.500 0.000